Density functional theory data (PBE with a Hubbard U) for crystalline Sr3Mo2O6 at its relaxed geometry.

Output
Final energy ... -6.606 eV per atom
D(E_F) ... 1.5 states/eV/f.u.

Unit cell a=4.178 b=4.178 c=10.425 alpha=101.56 beta=101.56 gamma=90.00
Positions (direct):
Sr: 0.000 0.000 0.000
Sr: 0.819 0.819 0.637
Sr: 0.181 0.181 0.363
Mo: 0.403 0.403 0.806
Mo: 0.597 0.597 0.194
O: 0.084 0.584 0.168
O: 0.584 0.084 0.168
O: 0.916 0.416 0.832
O: 0.416 0.916 0.832
O: 0.700 0.700 0.399
O: 0.300 0.300 0.601